No. 1
ErNpPt2: optimized geometry, PBE.

Computed properties:
Space-group type = Fm-3m (225)
ΔH_f (0 K) = -784 meV/atom
Magnetization = 4.11 μB per formula unit
Relative energy among the computed polymorphs = 35 meV per atom

a b c (Å): 4.9279 4.9279 4.9279
angles (deg): 60.00 60.00 60.00
Fractional coordinates of all 4 atoms:
Np 0.0000 0.0000 0.0000
Pt 0.2500 0.2500 0.2500
Pt 0.7500 0.7500 0.7500
Er 0.5000 0.5000 0.5000

No. 2
ErNp2Pt9: optimized geometry, PBE.

Computed properties:
Space-group type = P4/mmm (123)
ΔH_f (0 K) = -771 meV/atom
Magnetization = 6.05 μB per formula unit

a b c (Å): 4.1322 4.1322 12.4281
angles (deg): 90.00 90.00 90.00
Fractional coordinates of all 12 atoms:
Er 0.0000 0.0000 0.0000
Np 0.0000 0.0000 0.3316
Np 0.0000 0.0000 0.6684
Pt 0.5000 0.5000 0.0000
Pt 0.5000 0.5000 0.3323
Pt 0.5000 0.5000 0.6677
Pt 0.5000 0.0000 0.1662
Pt 0.5000 0.0000 0.5000
Pt 0.5000 0.0000 0.8338
Pt 0.0000 0.5000 0.1662
Pt 0.0000 0.5000 0.5000
Pt 0.0000 0.5000 0.8338

No. 3
ErNpPtRh: optimized geometry, PBE.

Computed properties:
Space-group type = F-43m (216)
ΔH_f (0 K) = -647 meV/atom
Magnetization = 4.04 μB per formula unit

a b c (Å): 4.8732 4.8732 4.8732
angles (deg): 60.00 60.00 60.00
Fractional coordinates of all 4 atoms:
Np 0.0000 0.0000 0.0000
Rh 0.2500 0.2500 0.2500
Pt 0.7500 0.7500 0.7500
Er 0.5000 0.5000 0.5000

The evaluated DOS at the Fermi energy for the records listed, in turn: 2.690 2.378 2.238 states/eV/atom.